(1)
This record from Alexandria via LeMat-Bulk describes Ce3Sc2Sn3 after structural relaxation. The functional is PBE-GGA.

a = 8.9832 Å, b = 8.9832 Å, c = 6.2585 Å
α = 90.00°, β = 90.00°, γ = 120.00°
Space group P6_3/mcm (No. 193)
Inequivalent atoms, fractional coordinates:
Ce (0.0000, 0.2377, 0.2500) (multiplicity 6)
Sc (0.3333, 0.6667, 0.0000) (multiplicity 4)
Sn (0.0000, 0.4052, 0.7500) (multiplicity 6)

Results
- Density of states at the Fermi level: 2.810 states/eV/atom
- Energy relative to the elements: -0.5462 eV per atom

---

(2)
This record from Alexandria via LeMat-Bulk describes CeScSn2 after structural relaxation. The functional is PBE-GGA.

a = 3.4902 Å, b = 17.6517 Å, c = 6.7972 Å
α = 90.00°, β = 90.00°, γ = 90.00°
Space group Cmcm (No. 63)
Inequivalent atoms, fractional coordinates:
Ce (0.0000, 0.0091, 0.2500) (multiplicity 4)
Sc (0.0000, 0.2380, 0.7500) (multiplicity 4)
Sn (0.0000, 0.3719, 0.0181) (multiplicity 8)

Results
- Density of states at the Fermi level: 1.785 states/eV/atom
- Energy relative to the elements: -0.5353 eV per atom

---

(3)
This record from Alexandria via LeMat-Bulk describes CeSc2Sn after structural relaxation. The functional is PBE-GGA.

a = 7.2167 Å, b = 7.2167 Å, c = 7.2167 Å
α = 90.00°, β = 90.00°, γ = 90.00°
Space group Fm-3m (No. 225)
Inequivalent atoms, fractional coordinates:
Ce (0.0000, 0.0000, 0.0000) (multiplicity 4)
Sc (0.2500, 0.2500, 0.2500) (multiplicity 8)
Sn (0.0000, 0.0000, 0.5000) (multiplicity 4)

Results
- Density of states at the Fermi level: 1.608 states/eV/atom
- Energy relative to the elements: -0.2685 eV per atom
- Energy above the lowest structure with this stoichiometry: 0.119 eV/atom

---

(4)
This record from Alexandria via LeMat-Bulk describes Ce3ScSn3 after structural relaxation. The functional is PBE-GGA.

a = 8.6726 Å, b = 10.8368 Å, c = 8.8910 Å
α = 90.00°, β = 100.42°, γ = 90.00°
Space group C2/m (No. 12)
Inequivalent atoms, fractional coordinates:
Ce (0.0000, 0.1230, 0.0000) (multiplicity 4)
Ce (0.0000, 0.2965, 0.5000) (multiplicity 4)
Ce (0.0987, 0.5000, 0.9012) (multiplicity 4)
Sc (0.1395, 0.0000, 0.6495) (multiplicity 4)
Sn (0.1906, 0.0000, 0.3433) (multiplicity 4)
Sn (0.2209, 0.2930, 0.2045) (multiplicity 8)

Results
- Density of states at the Fermi level: 2.189 states/eV/atom
- Energy relative to the elements: -0.4117 eV per atom

---

(5)
This record from Alexandria via LeMat-Bulk describes CeSc2Sn after structural relaxation. The functional is PBE-GGA.

a = 4.6989 Å, b = 4.6989 Å, c = 4.4015 Å
α = 90.00°, β = 90.00°, γ = 90.00°
Space group P4/mmm (No. 123)
Inequivalent atoms, fractional coordinates:
Ce (0.0000, 0.0000, 0.0000) (multiplicity 1)
Sc (0.0000, 0.5000, 0.5000) (multiplicity 2)
Sn (0.5000, 0.5000, 0.0000) (multiplicity 1)

Results
- Density of states at the Fermi level: 1.708 states/eV/atom
- Energy relative to the elements: -0.3871 eV per atom
- Energy above the lowest structure with this stoichiometry: 0.000 eV/atom

---

(6)
This record from Alexandria via LeMat-Bulk describes CeScSn2 after structural relaxation. The functional is PBE-GGA.

a = 4.3066 Å, b = 4.4822 Å, c = 11.2990 Å
α = 90.00°, β = 90.00°, γ = 90.00°
Space group Amm2 (No. 38)
Inequivalent atoms, fractional coordinates:
Ce (0.0000, 0.0000, 0.0000) (multiplicity 2)
Sc (0.5000, 0.0000, 0.2637) (multiplicity 2)
Sn (0.0000, 0.0000, 0.7274) (multiplicity 2)
Sn (0.5000, 0.0000, 0.5380) (multiplicity 2)

Results
- Density of states at the Fermi level: 1.960 states/eV/atom
- Energy relative to the elements: -0.5485 eV per atom

---

Question: Which of these has the lowest density of states at the Fermi level?
Answer: number 3